Compound: TmMgAg
Source: the Alexandria database
Functional: GGA-PBE
Structure: relaxed

Computed properties:
SG ... Aem2, No. 39
Energy ... -3.15 eV/atom
Calculated volume ... 68.8 Å³/f.u.
Calculated formation energy ... -0.18 eV/atom

Cell lengths 3.4180, 3.4182, 11.7767 Å; angles 90.00, 89.99, 90.01 degrees
Closest atoms and distances in Å follow each position.
Fractional positions:
Mg: 0.3715 0.7925 0.6683  4 Ag 2.87-2.89, 4 Mg 3.18
Mg: 0.8711 0.2926 0.8438  4 Ag 2.87-2.89, 4 Mg 3.18
Ag: 0.8727 0.2908 0.5354  4 Mg 2.87-2.89, 4 Tm 3.12-3.13
Ag: 0.3726 0.7910 0.9769  4 Mg 2.87-2.89, 4 Tm 3.12-3.13
Tm: 0.3733 0.7899 0.3669  4 Ag 3.12-3.13, 4 Tm 3.42
Tm: 0.8733 0.2899 0.1455  4 Ag 3.12-3.13, 4 Tm 3.42